Entry 1:
PuHgPd6: optimized geometry, PBE-GGA.

Cell: 4.0954 4.0954 8.1486 Å, 90.00 90.00 90.00°
Closest atoms and distances in Å follow each position.
Space group P4/mmm (No. 123)
Inequivalent atoms, fractional coordinates:
Pu 0.0000 0.0000 0.0000  12 Pd 2.88-2.90
Hg 0.0000 0.0000 0.5000  12 Pd 2.90
Pd 0.0000 0.5000 0.2477  2 Pu 2.88, 8 Pd 2.88-2.90, 2 Hg 2.90
Pd 0.5000 0.5000 0.0000  8 Pd 2.88, 4 Pu 2.90
Pd 0.5000 0.5000 0.5000  4 Hg 2.90, 8 Pd 2.90

* total magnetization: 0.518 μB per atom
* energy of formation from the pure elements: -0.392 eV/atom



Entry 2:
RbHgPd: optimized geometry, PBE-GGA.

Cell: 7.2159 7.2159 7.2159 Å, 90.00 90.00 90.00°
Closest atoms and distances in Å follow each position.
Space group F-43m (No. 216)
Inequivalent atoms, fractional coordinates:
Rb 0.0000 0.0000 0.0000  4 Pd 3.12
Hg 0.0000 0.0000 0.5000  4 Pd 3.12
Pd 0.2500 0.2500 0.2500  4 Hg 3.12, 4 Rb 3.12

* ΔE to the lowest computed polymorph: 0 meV/atom



Entry 3:
RbHgPd: optimized geometry, PBE-GGA.

Cell: 7.7095 7.7095 7.7095 Å, 90.00 90.00 90.00°
Closest atoms and distances in Å follow each position.
Space group F-43m (No. 216)
Inequivalent atoms, fractional coordinates:
Rb 0.0000 0.0000 0.0000  4 Hg 3.34, 4 Pd 3.34
Hg 0.2500 0.2500 0.7500  4 Rb 3.34
Pd 0.2500 0.2500 0.2500  4 Rb 3.34

* ΔE to the lowest computed polymorph: 428 meV/atom



Entry 4:
RbHg3PdS4: optimized geometry, PBE-GGA.

Cell: 6.4427 6.4427 6.4427 Å, 90.00 90.00 90.00°
Closest atoms and distances in Å follow each position.
Space group P-43m (No. 215)
Inequivalent atoms, fractional coordinates:
Rb 0.0000 0.0000 0.0000  4 S 3.11
Hg 0.0000 0.5000 0.5000  4 S 2.70
Pd 0.5000 0.5000 0.5000  4 S 2.47
S 0.2783 0.2783 0.2783  1 Pd 2.47, 3 Hg 2.70

* raw total energy: -2.70 eV per atom



Entry 5:
Hg2Pd3S2: optimized geometry, PBE-GGA.

Cell: 5.8272 5.8272 14.3064 Å, 90.00 90.00 120.00°
Closest atoms and distances in Å follow each position.
Space group R-3m (No. 166, hexagonal axes)
Inequivalent atoms, fractional coordinates:
Hg 0.0000 0.0000 0.0000  6 Pd 2.91, 2 S 3.17
Hg 0.0000 0.0000 0.5000  6 Pd 2.92
Pd 0.0000 0.5000 0.0000  2 S 2.32
S 0.0000 0.0000 0.2213  3 Pd 2.32

* raw total energy: -3.76 eV per atom



Entry 6:
HgPdS2: optimized geometry, PBE-GGA.

Cell: 3.5400 6.1267 9.0896 Å, 73.01 87.21 89.98°
Closest atoms and distances in Å follow each position.
Space group P1 (No. 1)
Inequivalent atoms, fractional coordinates:
Hg 0.0000 0.0000 0.0000  2 Hg 3.06, 2 S 3.19-3.30
Hg 0.0204 0.4987 0.0032  2 Hg 3.06, 2 S 3.15-3.21
Pd 0.2237 0.0011 0.5015  6 S 2.40-2.41
Pd 0.7256 0.5007 0.5014  6 S 2.40-2.41
S 0.2083 0.6052 0.6472  3 Pd 2.40-2.41
S 0.2443 0.3970 0.3551  3 Pd 2.40-2.41
S 0.7048 0.1045 0.6481  3 Pd 2.40-2.41
S 0.7415 0.8969 0.3554  3 Pd 2.40-2.41

* raw total energy: -3.55 eV per atom



Entry 7:
Hg2PdS3: optimized geometry, PBE-GGA.

Cell: 3.6557 4.5267 15.2730 Å, 90.00 90.00 90.00°
Closest atoms and distances in Å follow each position.
Space group Immm (No. 71)
Inequivalent atoms, fractional coordinates:
Hg 0.0000 0.0000 0.1536  7 S 2.88-2.97
Pd 0.0000 0.0000 0.5000  4 S 2.26-2.41
S 0.0000 0.0000 0.3424  1 Pd 2.41
S 0.0000 0.5000 0.5000  2 Pd 2.26

* raw total energy: -2.88 eV per atom



Entry 8:
HgSb2Pd: optimized geometry, PBE-GGA.

Cell: 7.1904 7.1904 7.1904 Å, 90.00 90.00 90.00°
Closest atoms and distances in Å follow each position.
Space group F-43m (No. 216)
Inequivalent atoms, fractional coordinates:
Hg 0.0000 0.0000 0.0000  4 Sb 3.11, 4 Pd 3.11
Sb 0.0000 0.0000 0.5000  4 Sb 3.11, 4 Pd 3.11
Sb 0.2500 0.2500 0.2500  4 Hg 3.11, 4 Sb 3.11
Pd 0.2500 0.2500 0.7500  4 Hg 3.11, 4 Sb 3.11

* raw total energy: -3.29 eV per atom



Entry 9:
HgSbPd2: optimized geometry, PBE-GGA.

Cell: 6.7329 6.7329 6.7329 Å, 90.00 90.00 90.00°
Closest atoms and distances in Å follow each position.
Space group F-43m (No. 216)
Inequivalent atoms, fractional coordinates:
Hg 0.0000 0.0000 0.0000  4 Sb 2.92, 4 Pd 2.92
Sb 0.2500 0.2500 0.7500  4 Hg 2.92, 4 Pd 2.92
Pd 0.0000 0.0000 0.5000  4 Pd 2.92, 4 Sb 2.92
Pd 0.2500 0.2500 0.2500  4 Hg 2.92, 4 Pd 2.92

* raw total energy: -3.78 eV per atom



Entry 10:
Sc2Hg2Pd: optimized geometry, PBE-GGA.

Cell: 4.2750 4.2750 12.5397 Å, 90.00 90.00 90.00°
Closest atoms and distances in Å follow each position.
Space group I4/mmm (No. 139)
Inequivalent atoms, fractional coordinates:
Sc 0.0000 0.5000 0.2500  4 Hg 2.81, 4 Sc 3.02
Hg 0.0000 0.0000 0.1041  1 Hg 2.61, 4 Sc 2.81
Pd 0.0000 0.0000 0.5000  8 Hg 3.29

* total magnetization: 0.024 μB per atom
* energy of formation from the pure elements: 0.116 eV/atom



Entry 11:
ScHgPd: optimized geometry, PBE-GGA.

Cell: 6.4865 6.4865 6.4865 Å, 90.00 90.00 90.00°
Closest atoms and distances in Å follow each position.
Space group F-43m (No. 216)
Inequivalent atoms, fractional coordinates:
Sc 0.0000 0.0000 0.0000  4 Hg 2.81, 4 Pd 2.81
Hg 0.2500 0.2500 0.7500  4 Sc 2.81
Pd 0.2500 0.2500 0.2500  4 Sc 2.81

* total magnetization: 0.002 μB per atom
* energy of formation from the pure elements: -0.245 eV/atom



Entry 12:
ScHgPd: optimized geometry, PBE-GGA.

Cell: 6.4334 6.4334 6.4334 Å, 90.00 90.00 90.00°
Closest atoms and distances in Å follow each position.
Space group F-43m (No. 216)
Inequivalent atoms, fractional coordinates:
Sc 0.0000 0.0000 0.0000  4 Pd 2.79
Hg 0.0000 0.0000 0.5000  4 Pd 2.79
Pd 0.2500 0.2500 0.7500  4 Hg 2.79, 4 Sc 2.79

* total magnetization: 0.002 μB per atom
* energy of formation from the pure elements: -0.462 eV/atom